MgTe2Ir | PBE | relaxed

CIF file:
```
data_MgTe2Ir
_chemical_formula_sum 'Mg2 Te4 Ir2'
_cell_length_a 4.020
_cell_length_b 4.020
_cell_length_c 10.798
_cell_angle_alpha 90.00
_cell_angle_beta 90.00
_cell_angle_gamma 90.00
_space_group_name_H-M_alt 'I -4 m 2'
_space_group_IT_number 119
_space_group_name_Hall 'I -4 -2'
loop_
_atom_site_label
_atom_site_type_symbol
_atom_site_fract_x
_atom_site_fract_y
_atom_site_fract_z
Mg1 Mg 0.000 0.000 0.000
Te1 Te 0.000 0.000 0.500
Te2 Te 0.000 0.500 0.750
Ir1 Ir 0.000 0.500 0.250
```

Its final energy is -3.96 eV/atom. Its uncorrected formation energy is 223 meV per atom.